[1]
First-principles (PBE-GGA) data for a relaxed structure of Tl2CdSbO6, as listed in Alexandria via LeMat-Bulk.

Summary:
final energy	-0.3635	Ry/atom
ΔE_f (raw)	-0.99	eV per atom

a b c (Å): 5.7551 5.7556 6.0601
angles (deg): 61.70 61.69 59.99
Atoms (fractional coordinates):
Tl1 0.5398 0.5398 0.3805
Tl2 0.0239 0.0239 0.9284
Cd1 0.8043 0.8042 0.5870
Sb1 0.3202 0.3203 0.0393
O1 0.5779 0.1982 0.2452
O2 0.1984 0.9789 0.2449
O3 0.9788 0.5780 0.2452
O4 0.4150 0.6794 0.7816
O5 0.6796 0.1239 0.7814
O6 0.1237 0.4150 0.7817

=====

[2]
First-principles (PBE-GGA) data for a relaxed structure of Tl2CdSb2O6, as listed in Alexandria via LeMat-Bulk.

Summary:
final energy	-0.3600	Ry/atom
ΔE_f (raw)	-0.93	eV per atom

a b c (Å): 6.2784 6.1605 7.4260
angles (deg): 117.11 90.00 120.64
Atoms (fractional coordinates):
Tl1 0.6994 0.3988 0.1677
Tl2 0.3006 0.6012 0.8323
Cd1 0.5000 0.0000 0.5000
Sb1 0.9578 0.9155 0.7744
Sb2 0.0422 0.0845 0.2256
O1 0.7502 0.5004 0.5724
O2 0.1738 0.8720 0.2450
O3 0.3018 0.1280 0.7550
O4 0.8262 0.1280 0.7550
O5 0.6982 0.8720 0.2450
O6 0.2498 0.4996 0.4276

=====

[3]
First-principles (PBE-GGA) data for a relaxed structure of Tl2Cd2SbO6, as listed in Alexandria via LeMat-Bulk.

Summary:
final energy	-0.3436	Ry/atom
ΔE_f (raw)	-1.00	eV per atom

a b c (Å): 5.8311 5.8311 6.3703
angles (deg): 97.60 97.60 119.48
Atoms (fractional coordinates):
Tl1 0.8304 0.1696 0.0000
Tl2 0.1696 0.8304 0.0000
Cd1 0.3369 0.6631 0.5000
Cd2 0.6631 0.3369 0.5000
Sb1 0.0000 0.0000 0.5000
O1 0.7745 0.7745 0.6970
O2 0.0544 0.3479 0.6776
O3 0.2255 0.2255 0.3030
O4 0.3479 0.0544 0.6776
O5 0.9456 0.6521 0.3224
O6 0.6521 0.9456 0.3224

=====

Respective ρ values: 8.44, 6.82, 7.77 g/cm3.